First-principles (PBE) data for a geometry-optimized Ba5PdO structure, as listed in Alexandria via LeMat-Bulk.

abc: 8.2694 8.2715 12.1824
angles: 112.06 112.07 86.12
Positions (direct):
Pd 0.5000 0.0000 0.0000
O 0.1007 0.3991 0.7499
Ba 0.1972 0.2570 0.5628
Ba 0.8028 0.7430 0.4372
Ba 0.2425 0.3026 0.9371
Pd 0.5000 0.0000 0.5000
Ba 0.8445 0.2663 0.1593
Ba 0.5791 0.9216 0.7502
Ba 0.1555 0.7337 0.8407
Ba 0.4209 0.0784 0.2498
Ba 0.2341 0.6551 0.3411
Ba 0.7659 0.3449 0.6589
O 0.8993 0.6009 0.2501
Ba 0.7575 0.6974 0.0629

**Final energy**: -3.6733 eV/atom
**Formation energy from raw total energies**: -0.85 eV per atom
**Spin magnetization**: 0.000 μB/f.u.



First-principles (PBE) data for a geometry-optimized CaAlRh structure, as listed in Alexandria via LeMat-Bulk.

abc: 5.3448 5.3448 5.3448
angles: 96.42 114.45 118.31
Positions (direct):
Al 0.5000 0.0000 0.5000
Rh 0.5000 0.5000 0.5000
Ca 0.7500 0.8597 0.1097
Ca 0.2500 0.1403 0.8903
Al 0.0000 0.5000 0.5000
Rh 0.0000 0.5000 0.0000

**Final energy**: -5.0069 eV/atom
**Spin magnetization**: 0.000 μB/f.u.
**DFT formation energy**: -0.6417 eV per atom



First-principles (PBE) data for a geometry-optimized K2Hg15Pb2 structure, as listed in Alexandria via LeMat-Bulk.

abc: 8.4121 8.4121 8.4121
angles: 77.28 77.28 77.28
Positions (direct):
K 0.3252 0.3252 0.3252
Hg 0.6200 0.1621 0.6200
Hg 0.6992 0.0000 0.3008
Hg 0.3800 0.8379 0.3800
Hg 0.6992 0.3008 0.0000
Hg 0.1621 0.6200 0.6200
K 0.6748 0.6748 0.6748
Hg 0.5000 0.0000 0.0000
Pb 0.9042 0.9042 0.9042
Hg 0.0000 0.5000 0.0000
Hg 0.3008 0.0000 0.6992
Pb 0.0958 0.0958 0.0958
Hg 0.0000 0.6992 0.3008
Hg 0.0000 0.0000 0.5000
Hg 0.6200 0.6200 0.1621
Hg 0.8379 0.3800 0.3800
Hg 0.0000 0.3008 0.6992
Hg 0.3800 0.3800 0.8379
Hg 0.3008 0.6992 0.0000

**Final energy**: -0.8251 eV/atom
**Spin magnetization**: 0.000 μB/f.u.
**DFT formation energy**: -0.0809 eV per atom



First-principles (PBE) data for a geometry-optimized InSiI2N structure, as listed in Alexandria via LeMat-Bulk.

abc: 6.0570 6.0570 4.1179
angles: 90.00 90.00 90.00
Positions (direct):
I 0.5000 0.0000 0.0000
I 0.0000 0.5000 0.0000
N 0.0000 0.0000 0.5000
In 0.0000 0.0000 0.0000
Si 0.5000 0.5000 0.5000

**Final energy**: -2.9370 eV/atom
**Formation energy from raw total energies**: 0.98 eV per atom
**Spin magnetization**: 0.293 μB/f.u.



First-principles (PBE) data for a geometry-optimized Ti2VNi structure, as listed in Alexandria via LeMat-Bulk.

abc: 4.3215 4.3215 4.3215
angles: 60.00 60.00 60.00
Positions (direct):
Ti 0.7500 0.7500 0.7500
Ni 0.5000 0.5000 0.5000
V 0.0000 0.0000 0.0000
Ti 0.2500 0.2500 0.2500

**Final energy**: -7.7914 eV/atom
**Spin magnetization**: 1.086 μB/f.u.
**DFT formation energy**: -0.1189 eV per atom



First-principles (PBE) data for a geometry-optimized Hf4Ni3Pd structure, as listed in Alexandria via LeMat-Bulk.

abc: 3.2744 4.1639 9.9549
angles: 90.00 90.00 90.00
Positions (direct):
Ni 0.0000 0.0000 0.4184
Ni 0.5000 0.0000 0.9080
Hf 0.0000 0.0000 0.1466
Hf 0.5000 0.0000 0.6392
Ni 0.0000 0.5000 0.5833
Pd 0.5000 0.5000 0.0845
Hf 0.5000 0.5000 0.3693
Hf 0.0000 0.5000 0.8508

**Final energy**: -8.3374 eV/atom
**Spin magnetization**: 0.000 μB/f.u.
**DFT formation energy**: -0.5436 eV per atom



First-principles (PBE) data for a geometry-optimized BaTe2W structure, as listed in Alexandria via LeMat-Bulk.

abc: 4.1591 4.5484 7.5832
angles: 83.33 90.00 90.00
Positions (direct):
Te 0.0000 0.3028 0.4898
Te 0.0000 0.1972 0.0102
Ba 0.5000 0.7500 0.7500
W 0.5000 0.2500 0.2500

**Final energy**: -5.2883 eV/atom
**Formation energy from raw total energies**: 0.00 eV per atom
**Spin magnetization**: 3.796 μB/f.u.



First-principles (PBE) data for a geometry-optimized MgSeI2N structure, as listed in Alexandria via LeMat-Bulk.

abc: 6.0822 6.0822 3.7594
angles: 90.00 90.00 90.00
Positions (direct):
I 0.0000 0.5000 0.0000
Se 0.0000 0.0000 0.0000
I 0.5000 0.0000 0.0000
Mg 0.5000 0.5000 0.5000
N 0.0000 0.0000 0.5000

**Final energy**: -2.7133 eV/atom
**Formation energy from raw total energies**: 0.59 eV per atom
**Spin magnetization**: 0.000 μB/f.u.



Question: final energy of number 8 (MgSeI2N)?
Answer: -2.7133 eV/atom



Question: Look up the final energy of the fifth one.
Answer: -7.7914 eV/atom



Copy entry 3 word for word.
First-principles (PBE) data for a geometry-optimized K2Hg15Pb2 structure, as listed in Alexandria via LeMat-Bulk.

abc: 8.4121 8.4121 8.4121
angles: 77.28 77.28 77.28
Positions (direct):
K 0.3252 0.3252 0.3252
Hg 0.6200 0.1621 0.6200
Hg 0.6992 0.0000 0.3008
Hg 0.3800 0.8379 0.3800
Hg 0.6992 0.3008 0.0000
Hg 0.1621 0.6200 0.6200
K 0.6748 0.6748 0.6748
Hg 0.5000 0.0000 0.0000
Pb 0.9042 0.9042 0.9042
Hg 0.0000 0.5000 0.0000
Hg 0.3008 0.0000 0.6992
Pb 0.0958 0.0958 0.0958
Hg 0.0000 0.6992 0.3008
Hg 0.0000 0.0000 0.5000
Hg 0.6200 0.6200 0.1621
Hg 0.8379 0.3800 0.3800
Hg 0.0000 0.3008 0.6992
Hg 0.3800 0.3800 0.8379
Hg 0.3008 0.6992 0.0000

**Final energy**: -0.8251 eV/atom
**Spin magnetization**: 0.000 μB/f.u.
**DFT formation energy**: -0.0809 eV per atom



What did the seventh record say?
First-principles (PBE) data for a geometry-optimized BaTe2W structure, as listed in Alexandria via LeMat-Bulk.

abc: 4.1591 4.5484 7.5832
angles: 83.33 90.00 90.00
Positions (direct):
Te 0.0000 0.3028 0.4898
Te 0.0000 0.1972 0.0102
Ba 0.5000 0.7500 0.7500
W 0.5000 0.2500 0.2500

**Final energy**: -5.2883 eV/atom
**Formation energy from raw total energies**: 0.00 eV per atom
**Spin magnetization**: 3.796 μB/f.u.